DFT (GGA-PBE) results for a geometry-optimized DyNpGa structure.

**Calculated volume**: 84 Å³/f.u.
**Relative energy among the computed polymorphs**: 0.000 kcal/mol of atoms
**Total DFT energy (no corrections)**: -19.6 eV/f.u.

abc: 6.944 6.944 6.944
angles: 90.00 90.00 90.00
Fractional coordinates of all 12 atoms:
Dy  0.000  0.000  0.000
Dy  0.000  0.500  0.500
Dy  0.500  0.000  0.500
Dy  0.500  0.500  0.000
Np  0.000  0.000  0.500
Np  0.000  0.500  0.000
Np  0.500  0.000  0.000
Np  0.500  0.500  0.500
Ga  0.250  0.250  0.250
Ga  0.250  0.750  0.750
Ga  0.750  0.250  0.750
Ga  0.750  0.750  0.250